Record 1
A plane-wave DFT calculation with PBEsol was carried out for a relaxed structure of CsZnCl2.

Output
E_form (uncorrected) = -0.92 eV/atom
M_tot = 0.000 μB/atom
symmetry = No. 166

```
CsZnCl2
1.0
-0.361 3.616 -3.292
-4.272 0.847 -2.253
-3.713 6.852 4.281
Cl Cs Zn
2 1 1
Cartesian
-3.113 5.368 2.586 Cl
-5.232 5.946 -3.850 Cl
-4.173 5.657 -0.632 Cs
0.000 0.000 0.000 Zn
```



Record 2
A plane-wave DFT calculation with PBEsol was carried out for a relaxed structure of CsZr2Cl2.

Output
E_form (uncorrected) = -0.74 eV/atom
M_tot = 0.000 μB/atom
symmetry = No. 139

```
CsZr2Cl2
1.0
-0.636 -3.921 1.034
-0.796 -0.905 -3.924
8.097 0.912 0.294
Zr Cs Cl
2 1 2
Cartesian
3.372 -2.711 -0.059 Zr
3.292 -1.203 -2.538 Zr
0.000 0.000 0.000 Cs
1.247 -2.813 -1.751 Cl
5.418 -1.102 -0.845 Cl
```



Record 3
A plane-wave DFT calculation with PBEsol was carried out for a relaxed structure of CuCl.

Output
E_form (uncorrected) = -0.36 eV/atom
M_tot = 0.000 μB/atom
symmetry = No. 186

```
CuCl
1.0
3.707 0.000 0.000
-1.854 3.210 0.000
0.000 0.000 6.177
Cu Cl
2 2
Cartesian
0.000 2.140 0.809 Cu
1.854 1.070 3.898 Cu
0.000 2.140 3.077 Cl
1.854 1.070 6.165 Cl
```



Record 4
A plane-wave DFT calculation with PBEsol was carried out for a relaxed structure of CuCl.

Output
E_form (uncorrected) = -0.13 eV/atom
M_tot = 0.000 μB/atom
symmetry = No. 141

```
CuCl
1.0
3.360 0.000 0.000
0.000 3.360 0.000
-1.680 -1.680 6.161
Cl Cu
2 2
Cartesian
0.000 0.000 0.000 Cl
0.000 1.680 3.080 Cl
1.680 1.680 0.000 Cu
1.680 0.000 3.080 Cu
```



Record 5
A plane-wave DFT calculation with PBEsol was carried out for a relaxed structure of Cu12Cl17.

Output
E_form (uncorrected) = -0.39 eV/atom
M_tot = 0.000 μB/atom
symmetry = No. 217

```
Cu12Cl17
1.0
10.059 0.000 0.000
-3.353 9.484 0.000
-3.353 -4.742 8.213
Cu Cl
12 17
Cartesian
-0.722 -1.022 4.523 Cu
2.631 3.720 3.690 Cu
-0.722 4.427 1.377 Cu
0.383 2.925 5.067 Cu
1.062 -3.947 6.836 Cu
-4.075 -0.314 6.836 Cu
7.089 3.633 0.000 Cu
4.415 0.795 1.377 Cu
-4.075 6.078 3.146 Cu
2.631 1.336 5.067 Cu
1.062 7.894 0.000 Cu
7.089 -1.816 3.146 Cu
0.608 5.645 0.000 Cl
-0.925 2.615 0.000 Cl
-2.864 4.418 2.126 Cl
2.774 0.000 0.000 Cl
5.120 -1.228 2.126 Cl
3.842 5.433 2.763 Cl
2.428 3.434 5.948 Cl
5.120 2.455 0.000 Cl
3.961 1.919 3.324 Cl
0.489 4.374 3.324 Cl
0.489 0.692 5.450 Cl
-1.586 3.514 6.087 Cl
-2.864 -0.367 4.889 Cl
0.608 -2.823 4.889 Cl
3.842 -0.324 6.087 Cl
-0.925 -1.308 2.265 Cl
0.000 0.000 0.000 Cl
```



Record 6
A plane-wave DFT calculation with PBEsol was carried out for a relaxed structure of CuCl.

Output
E_form (uncorrected) = -0.34 eV/atom
M_tot = 0.000 μB/atom
symmetry = No. 8

```
CuCl
1.0
-0.464 1.865 -3.034
-5.240 1.294 3.722
5.267 3.086 1.092
Cu Cl
3 3
Cartesian
-2.713 4.440 1.017 Cu
-2.597 1.888 1.557 Cu
-1.057 4.706 3.053 Cu
1.325 2.002 -1.098 Cl
-2.273 1.820 -0.660 Cl
-0.508 4.753 0.873 Cl
```